# NaTa2F

An optimized crystal structure of NaTa2F (PBE-GGA, Alexandria via LeMat-Bulk).

Results
- Offset from the most stable computed form: 0.2673 eV per atom
- Crystal system: cubic

Unit cell a=4.6027 b=4.6027 c=4.6027 alpha=60.00 beta=60.00 gamma=60.00
With the nearest neighbours (Å) after each atom.
Sites, in units of the cell vectors:
Na1 0.5000 0.5000 0.5000  8 Ta 2.82
F1 0.0000 0.0000 0.0000  8 Ta 2.82
Ta1 0.2500 0.2500 0.2500  4 Na 2.82, 4 F 2.82
Ta2 0.7500 0.7500 0.7500  4 F 2.82, 4 Na 2.82